(1)
The following is a DFT calculation (PBE-GGA) of an optimized crystal structure of TlHg5Au.

a b c (Å): 5.015 5.015 7.674
angles (deg): 90.00 90.00 90.00
Space group P4/mmm (No. 123)
One atom of each set of equivalent atoms:
Tl1 0.000 0.000 0.000 [1 per cell]
Hg1 0.000 0.500 0.293 [4 per cell]
Hg2 0.500 0.500 0.000 [1 per cell]
Au1 0.000 0.000 0.500 [1 per cell]

calculated total energy = -1.01 eV/atom
energy relative to the elements = 0.010 eV per atom

---

(2)
The following is a DFT calculation (PBE-GGA) of an optimized crystal structure of KCdTe2N.

a b c (Å): 6.132 6.132 4.156
angles (deg): 90.00 90.00 90.00
Space group P4/mmm (No. 123)
One atom of each set of equivalent atoms:
K1 0.000 0.000 0.000 [1 per cell]
Cd1 0.500 0.500 0.500 [1 per cell]
Te1 0.000 0.500 0.500 [2 per cell]
N1 0.500 0.500 0.000 [1 per cell]

calculated total energy = -2.79 eV/atom
formation energy (no corrections) = 0.53 eV/atom
excess energy over the best structure of this formula in the dataset = 0.0 meV/atom

---

(3)
The following is a DFT calculation (PBE-GGA) of an optimized crystal structure of Tb3Nd6Tl.

a b c (Å): 9.904 20.720 6.466
angles (deg): 90.00 90.00 90.00
Space group Cmc2_1 (No. 36)
One atom of each set of equivalent atoms:
Tb1 0.000 0.087 0.000 [4 per cell]
Tb2 0.170 0.373 0.602 [8 per cell]
Nd1 0.000 0.213 0.301 [4 per cell]
Nd2 0.000 0.481 0.271 [4 per cell]
Nd3 0.182 0.056 0.527 [8 per cell]
Nd4 0.186 0.217 0.743 [8 per cell]
Tl1 0.000 0.345 0.027 [4 per cell]

calculated total energy = -4.46 eV/atom
energy relative to the elements = 0.023 eV per atom
excess energy over the best structure of this formula in the dataset = 5.9 meV/atom